Entry 1:
An optimized crystal structure of NbGeB2I, computed with GGA-PBE.

Cell: 4.3271 4.3271 5.3953 Å, 90.00 90.00 90.00°
Closest atoms and distances in Å follow each position.
Element x y z (fractional)
1 Nb 0.0000 0.0000 0.0000  4 Ge 3.06
2 Ge 0.5000 0.5000 0.0000  2 I 2.70
3 B 0.0000 0.5000 0.5000  2 I 2.16
4 B 0.5000 0.0000 0.5000  2 I 2.16
5 I 0.5000 0.5000 0.5000  4 B 2.16

## Properties
DFT total energy, eV/atom: -3.5181

***

Entry 2:
An optimized crystal structure of CePaAs2N, computed with GGA-PBE.

Cell: 3.9992 3.9992 14.1249 Å, 90.00 90.00 90.00°
Closest atoms and distances in Å follow each position.
Element x y z (fractional)
1 Ce 0.2500 0.2500 0.1199  6 As 2.82-2.99
2 Ce 0.7500 0.7500 0.8801  6 As 2.82-2.99
3 Pa 0.2500 0.2500 0.5824  4 N 2.31
4 Pa 0.7500 0.7500 0.4176  4 N 2.31
5 As 0.2500 0.2500 0.3193  1 Ce 2.82, 4 Pa 3.15
6 As 0.2500 0.2500 0.9079  5 Ce 2.86-2.99
7 As 0.7500 0.7500 0.0921  5 Ce 2.86-2.99
8 As 0.7500 0.7500 0.6807  1 Ce 2.82, 4 Pa 3.15
9 N 0.2500 0.7500 0.5000  4 Pa 2.31
10 N 0.7500 0.2500 0.5000  4 Pa 2.31

## Properties
DFT total energy, eV/atom: -7.8815

***

Entry 3:
An optimized crystal structure of In2Ag2Te, computed with GGA-PBE.

Cell: 4.3342 4.3342 13.2374 Å, 90.00 90.00 90.00°
Closest atoms and distances in Å follow each position.
Element x y z (fractional)
1 In 0.0000 0.5000 0.2500  4 Ag 2.92, 4 In 3.06
2 In 0.0000 0.5000 0.7500  4 Ag 2.92, 4 In 3.06
3 In 0.5000 0.0000 0.2500  4 Ag 2.92, 4 In 3.06
4 In 0.5000 0.0000 0.7500  4 Ag 2.92, 4 In 3.06
5 Ag 0.0000 0.0000 0.1023  1 Ag 2.71, 4 In 2.92
6 Ag 0.0000 0.0000 0.8977  1 Ag 2.71, 4 In 2.92
7 Ag 0.5000 0.5000 0.3977  1 Ag 2.71, 4 In 2.92
8 Ag 0.5000 0.5000 0.6023  1 Ag 2.71, 4 In 2.92
9 Te 0.0000 0.0000 0.5000  8 Ag 3.35
10 Te 0.5000 0.5000 0.0000  8 Ag 3.35

## Properties
E above lowest polymorph, kJ per mole of atoms: 8.2

***

Entry 4:
An optimized crystal structure of Ac2Pd2Rh, computed with GGA-PBE.

Cell: 6.1036 6.1036 11.9623 Å, 116.27 116.27 40.89°
Closest atoms and distances in Å follow each position.
Element x y z (fractional)
1 Ac 0.0843 0.0843 0.3861  2 Rh 3.04, 6 Pd 3.10-3.38
2 Ac 0.3047 0.3047 0.8636  2 Rh 3.11, 5 Pd 3.21-3.32
3 Ac 0.6953 0.6953 0.1364  2 Rh 3.11, 5 Pd 3.21-3.32
4 Ac 0.9157 0.9157 0.6139  2 Rh 3.04, 6 Pd 3.10-3.38
5 Pd 0.0429 0.0429 0.9133  2 Rh 2.68, 1 Pd 2.68
6 Pd 0.3612 0.3612 0.3976  1 Rh 2.72, 1 Pd 2.96
7 Pd 0.6388 0.6388 0.6024  1 Rh 2.72, 1 Pd 2.96
8 Pd 0.9571 0.9571 0.0867  2 Rh 2.68, 1 Pd 2.68
9 Rh 0.4151 0.4151 0.1987  3 Pd 2.68-2.72
10 Rh 0.5849 0.5849 0.8013  3 Pd 2.68-2.72

## Properties
DFT total energy, eV/atom: -5.9025

***

Entry 5:
An optimized crystal structure of Sr2SiBIr, computed with GGA-PBE.

Cell: 5.8434 5.8434 4.3884 Å, 90.00 90.00 90.00°
Closest atoms and distances in Å follow each position.
Element x y z (fractional)
1 Sr 0.0000 0.5000 0.0000  2 Si 2.92
2 Sr 0.5000 0.0000 0.0000  2 Si 2.92
3 Si 0.0000 0.0000 0.0000  2 Ir 2.19
4 B 0.5000 0.5000 0.5000  8 Sr 3.65
5 Ir 0.0000 0.0000 0.5000  2 Si 2.19

## Properties
DFT total energy, eV/atom: -4.2013

***

Entry 6:
An optimized crystal structure of NaInRe2Pd, computed with GGA-PBE.

Cell: 5.0216 5.0216 5.0150 Å, 90.00 90.00 90.00°
Closest atoms and distances in Å follow each position.
Element x y z (fractional)
1 Na 0.0000 0.0000 0.0000  2 In 2.51
2 In 0.0000 0.0000 0.5000  2 Na 2.51, 4 Re 2.51
3 Re 0.0000 0.5000 0.5000  2 In 2.51
4 Re 0.5000 0.0000 0.5000  2 In 2.51
5 Pd 0.5000 0.5000 0.0000  8 Re 3.55, 4 Na 3.55

## Properties
DFT total energy, eV/atom: -4.5002

***

Entry 7:
An optimized crystal structure of KCd2BiIr, computed with GGA-PBE.

Cell: 5.3525 5.3525 5.2858 Å, 90.00 90.00 90.00°
Closest atoms and distances in Å follow each position.
Element x y z (fractional)
1 K 0.0000 0.0000 0.0000  8 Cd 3.76, 4 Bi 3.78
2 Cd 0.0000 0.5000 0.5000  2 Ir 2.68
3 Cd 0.5000 0.0000 0.5000  2 Ir 2.68
4 Bi 0.5000 0.5000 0.0000  2 Ir 2.64
5 Ir 0.5000 0.5000 0.5000  2 Bi 2.64, 4 Cd 2.68

## Properties
DFT total energy, eV/atom: -3.1288

***

Entry 8:
An optimized crystal structure of Sm4HoIn, computed with GGA-PBE.

Cell: 10.9613 10.9613 6.4582 Å, 90.00 90.00 150.05°
Closest atoms and distances in Å follow each position.
Element x y z (fractional)
1 Sm 0.0431 0.9569 0.5000  2 In 3.13-3.14, 1 Sm 3.22
2 Sm 0.1873 0.8127 0.6588  1 In 3.11, 4 Sm 3.15-3.30
3 Sm 0.2488 0.7512 0.1894  3 Sm 3.15-3.30, 1 In 3.19, 1 Ho 3.47
4 Sm 0.4379 0.5621 0.3192  2 In 3.34, 2 Ho 3.52-3.67, 2 Sm 3.53
5 Sm 0.5621 0.4379 0.8192  2 In 3.34, 2 Ho 3.52-3.67, 2 Sm 3.53
6 Sm 0.7512 0.2488 0.6894  3 Sm 3.15-3.30, 1 In 3.19, 1 Ho 3.47
7 Sm 0.8127 0.1873 0.1588  1 In 3.11, 4 Sm 3.15-3.30
8 Sm 0.9569 0.0431 0.0000  2 In 3.13-3.14, 1 Sm 3.22
9 Ho 0.3636 0.6364 0.8060  2 In 3.33, 5 Sm 3.47-3.67
10 Ho 0.6364 0.3636 0.3060  2 In 3.33, 5 Sm 3.47-3.67
11 In 0.1039 0.8961 0.0559  6 Sm 3.11-3.34, 2 Ho 3.33
12 In 0.8961 0.1039 0.5559  6 Sm 3.11-3.34, 2 Ho 3.33

## Properties
E above lowest polymorph, kJ per mole of atoms: 5.3

***

Entry 9:
An optimized crystal structure of YFe2Br, computed with GGA-PBE.

Cell: 10.2399 3.3946 5.1607 Å, 90.00 99.32 90.00°
Closest atoms and distances in Å follow each position.
Element x y z (fractional)
1 Y 0.0000 0.0000 0.0000  6 Fe 2.92-2.94, 4 Br 3.09
2 Y 0.5000 0.5000 0.0000  6 Fe 2.92-2.94, 4 Br 3.09
3 Fe 0.2118 0.5000 0.8564  2 Fe 2.31
4 Fe 0.2882 0.0000 0.1436  2 Fe 2.31
5 Fe 0.7118 0.0000 0.8564  2 Fe 2.31
6 Fe 0.7882 0.5000 0.1436  2 Fe 2.31
7 Br 0.0000 0.5000 0.5000  2 Fe 2.61
8 Br 0.5000 0.0000 0.5000  2 Fe 2.61

## Properties
E above lowest polymorph, kJ per mole of atoms: 26.4

***

Entry 10:
An optimized crystal structure of Mg2SiTc, computed with GGA-PBE.

Cell: 3.9258 3.9258 8.1186 Å, 90.00 90.00 90.00°
Closest atoms and distances in Å follow each position.
Element x y z (fractional)
1 Mg 0.0000 0.0000 0.0000  4 Tc 2.78, 4 Mg 2.82, 4 Si 2.82
2 Mg 0.0000 0.5000 0.2500  4 Si 2.78, 4 Tc 2.82, 4 Mg 2.82
3 Mg 0.5000 0.0000 0.7500  4 Si 2.78, 4 Tc 2.82, 4 Mg 2.82
4 Mg 0.5000 0.5000 0.5000  4 Tc 2.78, 4 Mg 2.82, 4 Si 2.82
5 Si 0.0000 0.5000 0.7500  8 Mg 2.78-2.82, 4 Tc 2.82
6 Si 0.5000 0.0000 0.2500  8 Mg 2.78-2.82, 4 Tc 2.82
7 Tc 0.0000 0.0000 0.5000  8 Mg 2.78-2.82, 4 Si 2.82
8 Tc 0.5000 0.5000 0.0000  8 Mg 2.78-2.82, 4 Si 2.82

## Properties
DFT total energy, eV/atom: -4.7688

***

Entry 11:
An optimized crystal structure of Er8CuHg2, computed with GGA-PBE.

Cell: 9.2149 9.2149 6.7626 Å, 104.12 104.12 32.37°
Closest atoms and distances in Å follow each position.
Element x y z (fractional)
1 Er 0.0235 0.0235 0.2762  1 Hg 3.01, 2 Cu 3.06, 3 Er 3.34-3.37
2 Er 0.2008 0.2008 0.8096  1 Hg 2.92
3 Er 0.3436 0.3436 0.5336  1 Cu 2.83, 3 Hg 2.97-3.14
4 Er 0.4103 0.4103 0.0550  1 Cu 3.03, 2 Er 3.37
5 Er 0.5897 0.5897 0.9450  1 Cu 3.03, 2 Er 3.37
6 Er 0.6564 0.6564 0.4664  1 Cu 2.83, 3 Hg 2.97-3.14
7 Er 0.7992 0.7992 0.1904  1 Hg 2.92
8 Er 0.9765 0.9765 0.7238  1 Hg 3.01, 2 Cu 3.06, 3 Er 3.34-3.37
9 Cu 0.5000 0.5000 0.5000  8 Er 2.83-3.06
10 Hg 0.1887 0.1887 0.2325  5 Er 2.92-3.14
11 Hg 0.8113 0.8113 0.7675  5 Er 2.92-3.14

## Properties
DFT total energy, eV/atom: -3.9359

***

Entry 12:
An optimized crystal structure of Tb4ErTh2, computed with GGA-PBE.

Cell: 20.2725 20.2725 20.2725 Å, 10.12 10.12 10.12°
Closest atoms and distances in Å follow each position.
Element x y z (fractional)
1 Tb 0.1418 0.1418 0.1418  3 Th 3.50, 9 Tb 3.58-3.65
2 Tb 0.2854 0.2854 0.2854  3 Th 3.53, 3 Er 3.56, 6 Tb 3.58
3 Tb 0.7146 0.7146 0.7146  3 Th 3.53, 3 Er 3.56, 6 Tb 3.58
4 Tb 0.8582 0.8582 0.8582  3 Th 3.50, 9 Tb 3.58-3.65
5 Er 0.0000 0.0000 0.0000  6 Tb 3.56, 6 Er 3.58
6 Th 0.4285 0.4285 0.4285  6 Tb 3.50-3.53, 6 Th 3.58
7 Th 0.5715 0.5715 0.5715  6 Tb 3.50-3.53, 6 Th 3.58

## Properties
E above lowest polymorph, kJ per mole of atoms: 0.0

***

Entry 13:
An optimized crystal structure of Nd2NiGePd6, computed with GGA-PBE.

Cell: 5.6317 5.6317 8.2665 Å, 109.91 109.91 60.08°
Closest atoms and distances in Å follow each position.
Element x y z (fractional)
1 Nd 0.2041 0.2041 0.1102  9 Pd 3.03-3.26, 3 Ni 3.35-3.36
2 Nd 0.7959 0.7959 0.8898  9 Pd 3.03-3.26, 3 Ni 3.35-3.36
3 Ni 0.5000 0.5000 0.0000  6 Pd 2.54
4 Ge 0.0000 0.0000 0.5000  6 Pd 2.46
5 Pd 0.2475 0.7426 0.7409  1 Ge 2.46, 1 Ni 2.54
6 Pd 0.2491 0.2491 0.7405  1 Ge 2.46, 1 Ni 2.54
7 Pd 0.2574 0.7525 0.2591  1 Ge 2.46, 1 Ni 2.54
8 Pd 0.7426 0.2475 0.7409  1 Ge 2.46, 1 Ni 2.54
9 Pd 0.7509 0.7509 0.2595  1 Ge 2.46, 1 Ni 2.54
10 Pd 0.7525 0.2574 0.2591  1 Ge 2.46, 1 Ni 2.54

## Properties
DFT total energy, eV/atom: -5.6065

***

Entry 14:
An optimized crystal structure of AcErGaCo, computed with GGA-PBE.

Cell: 7.2864 7.2864 7.2864 Å, 90.00 90.00 90.00°
Closest atoms and distances in Å follow each position.
Element x y z (fractional)
1 Ac 0.0000 0.0000 0.0000  4 Co 3.16, 4 Ga 3.16
2 Ac 0.0000 0.5000 0.5000  4 Co 3.16, 4 Ga 3.16
3 Ac 0.5000 0.0000 0.5000  4 Co 3.16, 4 Ga 3.16
4 Ac 0.5000 0.5000 0.0000  4 Co 3.16, 4 Ga 3.16
5 Er 0.0000 0.0000 0.5000  4 Ga 3.16, 4 Co 3.16
6 Er 0.0000 0.5000 0.0000  4 Ga 3.16, 4 Co 3.16
7 Er 0.5000 0.0000 0.0000  4 Ga 3.16, 4 Co 3.16
8 Er 0.5000 0.5000 0.5000  4 Ga 3.16, 4 Co 3.16
9 Ga 0.2500 0.2500 0.2500  4 Ac 3.16, 4 Er 3.16
10 Ga 0.2500 0.7500 0.7500  4 Ac 3.16, 4 Er 3.16
11 Ga 0.7500 0.2500 0.7500  4 Ac 3.16, 4 Er 3.16
12 Ga 0.7500 0.7500 0.2500  4 Ac 3.16, 4 Er 3.16
13 Co 0.2500 0.2500 0.7500  4 Er 3.16, 4 Ac 3.16
14 Co 0.2500 0.7500 0.2500  4 Er 3.16, 4 Ac 3.16
15 Co 0.7500 0.2500 0.2500  4 Er 3.16, 4 Ac 3.16
16 Co 0.7500 0.7500 0.7500  4 Er 3.16, 4 Ac 3.16

## Properties
DFT total energy, eV/atom: -4.8348

***

Entry 15:
An optimized crystal structure of Fe4SeCl, computed with GGA-PBE.

Cell: 5.0999 5.0999 5.0999 Å, 60.00 60.00 60.00°
Closest atoms and distances in Å follow each position.
Element x y z (fractional)
1 Fe 0.1249 0.1249 0.1249  6 Fe 2.55
2 Fe 0.1249 0.1249 0.6252  6 Fe 2.55
3 Fe 0.1249 0.6252 0.1249  6 Fe 2.55
4 Fe 0.6252 0.1249 0.1249  6 Fe 2.55
5 Se 0.5000 0.5000 0.5000  12 Fe 2.99, 4 Cl 3.12
6 Cl 0.7500 0.7500 0.7500  12 Fe 2.99, 4 Se 3.12

## Properties
DFT total energy, eV/atom: -6.0068

***

Entry 16:
An optimized crystal structure of NpBePO, computed with GGA-PBE.

Cell: 3.7584 3.7584 7.9687 Å, 90.00 90.00 90.00°
Closest atoms and distances in Å follow each position.
Element x y z (fractional)
1 Np 0.2500 0.2500 0.1649  4 O 2.29
2 Np 0.7500 0.7500 0.8351  4 O 2.29
3 Be 0.2500 0.7500 0.5000  4 P 2.24
4 Be 0.7500 0.2500 0.5000  4 P 2.24
5 P 0.2500 0.2500 0.6529  4 Be 2.24
6 P 0.7500 0.7500 0.3471  4 Be 2.24
7 O 0.2500 0.7500 0.0000  4 Np 2.29
8 O 0.7500 0.2500 0.0000  4 Np 2.29

## Properties
DFT total energy, eV/atom: -8.2621

***

Entry 17:
An optimized crystal structure of Ni4HgSb, computed with GGA-PBE.

Cell: 4.9587 4.9587 4.9587 Å, 60.00 60.00 60.00°
Closest atoms and distances in Å follow each position.
Element x y z (fractional)
1 Ni 0.1250 0.1250 0.1250  6 Ni 2.48
2 Ni 0.1250 0.1250 0.6249  6 Ni 2.48
3 Ni 0.1250 0.6249 0.1250  6 Ni 2.48
4 Ni 0.6249 0.1250 0.1250  6 Ni 2.48
5 Hg 0.5000 0.5000 0.5000  12 Ni 2.91, 4 Sb 3.04
6 Sb 0.7500 0.7500 0.7500  12 Ni 2.91, 4 Hg 3.04

## Properties
DFT total energy, eV/atom: -4.4456

***

Entry 18:
An optimized crystal structure of MnBeTl2, computed with GGA-PBE.

Cell: 3.1573 3.1573 8.1375 Å, 90.00 90.00 90.00°
Closest atoms and distances in Å follow each position.
Element x y z (fractional)
1 Mn 0.0000 0.0000 0.0000  4 Be 2.42
2 Be 0.5000 0.5000 0.8853  4 Mn 2.42
3 Tl 0.0000 0.0000 0.6201  1 Mn 3.09, 4 Be 3.10, 4 Tl 3.16
4 Tl 0.5000 0.5000 0.2605  1 Be 3.05, 4 Mn 3.08, 4 Tl 3.16

## Properties
E above lowest polymorph, kJ per mole of atoms: 0.0

***

Entry 19:
An optimized crystal structure of HgN3O, computed with GGA-PBE.

Cell: 4.3278 4.3278 4.3278 Å, 90.00 90.00 90.00°
Closest atoms and distances in Å follow each position.
Element x y z (fractional)
1 Hg 0.0000 0.0000 0.0000  6 N 2.16
2 N 0.0000 0.0000 0.5000  2 Hg 2.16
3 N 0.0000 0.5000 0.0000  2 Hg 2.16
4 N 0.5000 0.0000 0.0000  2 Hg 2.16
5 O 0.5000 0.5000 0.5000  12 N 3.06

## Properties
DFT total energy, eV/atom: -2.7822

***

Entry 20:
An optimized crystal structure of TaIr4Au, computed with GGA-PBE.

Cell: 5.1744 5.1744 5.1744 Å, 60.00 60.00 60.00°
Closest atoms and distances in Å follow each position.
Element x y z (fractional)
1 Ta 0.0000 0.0000 0.0000  12 Ir 3.03, 4 Au 3.17
2 Ir 0.3752 0.3752 0.3752  6 Ir 2.58-2.59
3 Ir 0.3752 0.3752 0.8744  6 Ir 2.58-2.59
4 Ir 0.3752 0.8744 0.3752  6 Ir 2.58-2.59
5 Ir 0.8744 0.3752 0.3752  6 Ir 2.58-2.59
6 Au 0.7500 0.7500 0.7500  12 Ir 3.03, 4 Ta 3.17

## Properties
DFT total energy, eV/atom: -8.3720

***

Number 1: density 5.16 Mg/m³, total magnetic moment 0.356 μB per atom. Number 2: density 7.87 Mg/m³, total magnetic moment 0.017 μB per atom. Number 3: density 7.65 Mg/m³, total magnetic moment 0.000 μB per atom. Number 4: density 9.94 Mg/m³, total magnetic moment 0.000 μB per atom. Number 5: density 4.50 Mg/m³, total magnetic moment 0.000 μB per atom. Number 6: density 8.10 Mg/m³, total magnetic moment 1.158 μB per atom. Number 7: density 7.29 Mg/m³, total magnetic moment 0.000 μB per atom. Number 8: density 7.55 Mg/m³, total magnetic moment 0.000 μB per atom. Number 9: density 5.26 Mg/m³, total magnetic moment 1.042 μB per atom. Number 10: density 4.64 Mg/m³, total magnetic moment 0.188 μB per atom. Number 11: density 10.07 Mg/m³, total magnetic moment 0.000 μB per atom. Number 12: density 9.42 Mg/m³, total magnetic moment 0.000 μB per atom. Number 13: density 8.41 Mg/m³, total magnetic moment 0.000 μB per atom. Number 14: density 8.98 Mg/m³, total magnetic moment 0.268 μB per atom. Number 15: density 5.98 Mg/m³, total magnetic moment 2.155 μB per atom. Number 16: density 8.64 Mg/m³, total magnetic moment 0.946 μB per atom. Number 17: density 10.73 Mg/m³, total magnetic moment 0.000 μB per atom. Number 18: density 9.68 Mg/m³, total magnetic moment 0.860 μB per atom. Number 19: density 5.30 Mg/m³, total magnetic moment 0.912 μB per atom. Number 20: density 19.44 Mg/m³, total magnetic moment 0.000 μB per atom.